[1]
Entry from Alexandria: crystalline Pm2Sm6HoTm at its relaxed geometry (PBE).

Cell and atoms, written as POSCAR:
```
Pm2Sm6HoTm
1.0
9.2576 -2.0557 -2.1333
0.7585 8.6293 -2.0513
0.7585 -2.3697 8.5474
Sm Pm Ho Tm
12 4 2 2
direct
0.6192 0.4982 0.7096
0.8109 0.4272 0.9839
0.8808 0.2904 0.5018
0.3109 0.9839 0.4272
0.4446 0.2460 0.8755
0.1891 0.5728 0.0161
0.5554 0.7540 0.1245
0.0554 0.1245 0.7540
0.6891 0.0161 0.5728
0.9446 0.8755 0.2460
0.3808 0.5018 0.2904
0.1192 0.7096 0.4982
0.5428 0.1970 0.2997
0.4572 0.8030 0.7003
0.9572 0.7003 0.8030
0.0428 0.2997 0.1970
0.7500 0.0210 0.9790
0.2500 0.9790 0.0210
0.7500 0.5912 0.4088
0.2500 0.4088 0.5912
```

Calculated values
The value obtained for the density of states at the Fermi level is 13.76 states/eV/f.u. The crystal system is monoclinic. The density is 7.540 g/cm3. Its formation energy is 0.116 eV/atom. Its symmetry is C2/c, No. 15.

---

[2]
Entry from Alexandria: crystalline HoTm4Zn at its relaxed geometry (PBE).

Cell and atoms, written as POSCAR:
```
HoTm4Zn
1.0
-0.3518 -3.0160 1.7336
-0.6220 -1.6598 -3.0139
13.2501 -2.3678 -1.4305
Zn Tm Ho
1 4 1
direct
0.5000 0.5000 0.5000
0.0000 0.0000 0.3691
0.5000 0.5000 0.1828
0.0000 0.0000 0.6309
0.5000 0.5000 0.8172
0.0000 0.0000 0.0000
```

Calculated values
The value obtained for the density of states at the Fermi level is 7.95 states/eV/f.u. As for the energy above the most stable polymorph in this dataset: 0.000 eV per atom. The crystal system is tetragonal. The density is 9.092 g/cm3. Its formation energy is -0.098 eV/atom. Its symmetry is P4/mmm, No. 123.

---

[3]
Entry from Alexandria: crystalline Ac4AlPb at its relaxed geometry (PBE).

Cell and atoms, written as POSCAR:
```
Ac4AlPb
1.0
5.5835 0.0001 -0.0015
-0.0001 5.5840 -0.0021
0.0042 0.0066 7.9480
Ac Al Pb
4 1 1
direct
0.5013 0.9970 0.2642
0.0014 0.4974 0.7321
0.0012 0.4972 0.2642
0.5013 0.9976 0.7321
0.0013 0.9973 0.4981
0.5013 0.4973 0.9982
```

Calculated values
The value obtained for the density of states at the Fermi level is 7.68 states/eV/f.u. The crystal system is tetragonal. The density is 7.654 g/cm3. Its formation energy is -0.140 eV/atom. Its symmetry is P4/mmm, No. 123.